Record 1
Ac2Al4CuPd3 | Alexandria via LeMat-Bulk | PBE | optimized geometry; space group = No. 115; energy of formation from the pure elements = -708.0 meV per atom
1.0
4.4805 0.0000 0.0000
0.0000 4.4805 0.0000
0.0000 0.0000 10.3421
Ac Al Cu Pd
2 4 1 3
Direct
0.0000 0.5000 0.2461
0.5000 0.0000 0.7539
0.0000 0.0000 0.5000
0.0000 0.5000 0.8838
0.5000 0.0000 0.1162
0.5000 0.5000 0.5000
0.5000 0.5000 0.0000
0.0000 0.0000 0.0000
0.0000 0.5000 0.6304
0.5000 0.0000 0.3696

Record 2
AcAlCuPd2 | Alexandria via LeMat-Bulk | PBE | optimized geometry; space group = No. 67; energy of formation from the pure elements = -490.7 meV per atom
1.0
2.7807 -6.5079 0.0000
2.7807 6.5079 0.0000
0.0000 0.0000 5.7395
Ac Al Cu Pd
2 2 2 4
Direct
0.2500 0.7500 0.7752
0.7500 0.2500 0.2248
0.2500 0.2500 0.5000
0.7500 0.7500 0.5000
0.0000 0.0000 0.0000
0.5000 0.5000 0.0000
0.1408 0.8592 0.3044
0.3592 0.6408 0.3044
0.6408 0.3592 0.6956
0.8592 0.1408 0.6956

Record 3
Ac3Al2CuPd9 | Alexandria via LeMat-Bulk | PBE | optimized geometry; space group = No. 164; energy of formation from the pure elements = -565.1 meV per atom
1.0
7.2866 0.0000 0.0000
-3.6433 6.3104 0.0000
0.0000 0.0000 7.0556
Ac Al Cu Pd
3 2 1 9
Direct
0.0000 0.0000 0.0000
0.3333 0.6667 0.6618
0.6667 0.3333 0.3382
0.3333 0.6667 0.1676
0.6667 0.3333 0.8324
0.0000 0.0000 0.5000
0.0000 0.5000 0.0000
0.1679 0.3358 0.3292
0.1679 0.8321 0.3292
0.3358 0.1679 0.6708
0.5000 0.0000 0.0000
0.5000 0.5000 0.0000
0.6642 0.8321 0.3292
0.8321 0.1679 0.6708
0.8321 0.6642 0.6708

Record 4
Ac2AlCuPd6 | Alexandria via LeMat-Bulk | PBE | optimized geometry; space group = No. 166; energy of formation from the pure elements = -651.6 meV per atom
1.0
3.2430 1.8724 11.3680
-3.2430 1.8724 11.3680
0.0000 -3.7447 11.3680
Ac Al Cu Pd
4 2 2 12
Direct
0.1154 0.1154 0.1154
0.2871 0.2871 0.2871
0.7129 0.7129 0.7129
0.8846 0.8846 0.8846
0.0000 0.0000 0.0000
0.5000 0.5000 0.5000
0.4264 0.4264 0.4264
0.5736 0.5736 0.5736
0.0783 0.6603 0.6603
0.2231 0.2231 0.6580
0.2231 0.6580 0.2231
0.3397 0.3397 0.9217
0.3397 0.9217 0.3397
0.3420 0.7769 0.7769
0.6580 0.2231 0.2231
0.6603 0.0783 0.6603
0.6603 0.6603 0.0783
0.7769 0.3420 0.7769
0.7769 0.7769 0.3420
0.9217 0.3397 0.3397

Record 5
AcAl2CuPd4 | Alexandria via LeMat-Bulk | PBE | optimized geometry; space group = No. 166; energy of formation from the pure elements = -726.3 meV per atom
1.0
2.1478 1.2400 9.1118
-2.1478 1.2400 9.1118
0.0000 -2.4800 9.1118
Ac Al Cu Pd
1 2 1 4
Direct
0.0000 0.0000 0.0000
0.2285 0.2285 0.2285
0.7715 0.7715 0.7715
0.5000 0.5000 0.5000
0.1318 0.1318 0.1318
0.4062 0.4062 0.4062
0.5938 0.5938 0.5938
0.8682 0.8682 0.8682

Record 6
Ac3AlCu2Pd6 | Alexandria via LeMat-Bulk | PBE | optimized geometry; space group = No. 164; energy of formation from the pure elements = -598.3 meV per atom
1.0
5.9228 0.0000 0.0000
-2.9614 5.1293 0.0000
0.0000 0.0000 8.7791
Ac Al Cu Pd
3 1 2 6
Direct
0.0000 0.0000 0.0000
0.3333 0.6667 0.6437
0.6667 0.3333 0.3563
0.0000 0.0000 0.5000
0.3333 0.6667 0.0497
0.6667 0.3333 0.9503
0.1738 0.3476 0.2908
0.1738 0.8262 0.2908
0.3476 0.1738 0.7092
0.6524 0.8262 0.2908
0.8262 0.1738 0.7092
0.8262 0.6524 0.7092

Record 7
Ac2Al3Cu12Pd | Alexandria via LeMat-Bulk | PBE | optimized geometry; space group = No. 166; energy of formation from the pure elements = 42.9 meV per atom
1.0
3.1256 1.8046 9.2443
-3.1256 1.8046 9.2443
0.0000 -3.6091 9.2443
Ac Al Cu Pd
2 3 12 1
Direct
0.1519 0.1519 0.1519
0.8481 0.8481 0.8481
0.0000 0.5000 0.5000
0.5000 0.0000 0.5000
0.5000 0.5000 0.0000
0.0820 0.0820 0.6945
0.0820 0.6945 0.0820
0.1500 0.5623 0.5623
0.3055 0.9180 0.9180
0.4377 0.4377 0.8500
0.4377 0.8500 0.4377
0.5623 0.1500 0.5623
0.5623 0.5623 0.1500
0.6945 0.0820 0.0820
0.8500 0.4377 0.4377
0.9180 0.3055 0.9180
0.9180 0.9180 0.3055
0.5000 0.5000 0.5000

Record 8
Ac3AlCu2Pd9 | Alexandria via LeMat-Bulk | PBE | optimized geometry; space group = No. 164; energy of formation from the pure elements = -463.7 meV per atom
1.0
7.3715 0.0000 0.0000
-3.6857 6.3839 0.0000
0.0000 0.0000 6.8390
Ac Al Cu Pd
3 1 2 9
Direct
0.0000 0.0000 0.0000
0.3333 0.6667 0.6724
0.6667 0.3333 0.3276
0.0000 0.0000 0.5000
0.3333 0.6667 0.1685
0.6667 0.3333 0.8315
0.0000 0.5000 0.0000
0.1643 0.3286 0.3345
0.1643 0.8357 0.3345
0.3286 0.1643 0.6655
0.5000 0.0000 0.0000
0.5000 0.5000 0.0000
0.6714 0.8357 0.3345
0.8357 0.1643 0.6655
0.8357 0.6714 0.6655

Record 9
AcAlCuPd3 | Alexandria via LeMat-Bulk | PBE | optimized geometry; space group = No. 63; energy of formation from the pure elements = -511.4 meV per atom
1.0
3.0097 -5.8264 0.0000
3.0097 5.8264 0.0000
0.0000 0.0000 6.9561
Ac Al Cu Pd
2 2 2 6
Direct
0.1932 0.8068 0.7500
0.8068 0.1932 0.2500
0.1139 0.8861 0.2500
0.8861 0.1139 0.7500
0.4380 0.5620 0.7500
0.5620 0.4380 0.2500
0.2312 0.2312 0.0000
0.2312 0.2312 0.5000
0.3303 0.6697 0.2500
0.6697 0.3303 0.7500
0.7688 0.7688 0.0000
0.7688 0.7688 0.5000

Record 10
Ac3Al2Cu2Pd4 | Alexandria via LeMat-Bulk | PBE | optimized geometry; space group = No. 164; energy of formation from the pure elements = -600.8 meV per atom
1.0
4.4414 0.0000 0.0000
-2.2207 3.8463 0.0000
0.0000 0.0000 15.1471
Ac Al Cu Pd
3 2 2 4
Direct
0.0000 0.0000 0.0000
0.0000 0.0000 0.2728
0.0000 0.0000 0.7272
0.3333 0.6667 0.5618
0.6667 0.3333 0.4382
0.3333 0.6667 0.1363
0.6667 0.3333 0.8637
0.3333 0.6667 0.3988
0.3333 0.6667 0.8644
0.6667 0.3333 0.1356
0.6667 0.3333 0.6012

Record 11
AcAl4CuPd2 | Alexandria via LeMat-Bulk | PBE | optimized geometry; space group = No. 166; energy of formation from the pure elements = -606.0 meV per atom
1.0
2.1480 1.2402 9.4246
-2.1480 1.2402 9.4246
0.0000 -2.4803 9.4246
Ac Al Cu Pd
1 4 1 2
Direct
0.0000 0.0000 0.0000
0.1342 0.1342 0.1342
0.4109 0.4109 0.4109
0.5891 0.5891 0.5891
0.8658 0.8658 0.8658
0.5000 0.5000 0.5000
0.2297 0.2297 0.2297
0.7703 0.7703 0.7703

Record 12
AcPmAlCu | Alexandria via LeMat-Bulk | PBE | optimized geometry; space group = No. 216; energy of formation from the pure elements = -144.4 meV per atom
1.0
0.0000 3.7843 3.7843
3.7843 0.0000 3.7843
3.7843 3.7843 0.0000
Ac Pm Al Cu
1 1 1 1
Direct
0.0000 0.0000 0.0000
0.5000 0.5000 0.5000
0.2500 0.2500 0.2500
0.7500 0.7500 0.7500

Record 13
Ac2Al4CuPt3 | Alexandria via LeMat-Bulk | PBE | optimized geometry; space group = No. 115; energy of formation from the pure elements = -922.1 meV per atom
1.0
4.4421 0.0000 0.0000
0.0000 4.4421 0.0000
0.0000 0.0000 10.4008
Ac Al Cu Pt
2 4 1 3
Direct
0.0000 0.5000 0.2476
0.5000 0.0000 0.7524
0.0000 0.0000 0.5000
0.0000 0.5000 0.8818
0.5000 0.0000 0.1182
0.5000 0.5000 0.5000
0.5000 0.5000 0.0000
0.0000 0.0000 0.0000
0.0000 0.5000 0.6310
0.5000 0.0000 0.3690

Record 14
AcAlCuPt | Alexandria via LeMat-Bulk | PBE | optimized geometry; space group = No. 8; energy of formation from the pure elements = -745.6 meV per atom
1.0
3.7941 -2.1942 0.0000
3.7941 2.1942 0.0000
-2.5044 0.0000 5.3084
Ac Al Cu Pt
1 1 1 1
Direct
0.0000 0.0000 0.0000
0.4935 0.4935 0.4812
0.1979 0.1979 0.5942
0.8001 0.8001 0.4003

Record 15
Ac2Al4Cu3Pt | Alexandria via LeMat-Bulk | PBE | optimized geometry; space group = No. 115; energy of formation from the pure elements = -514.7 meV per atom
1.0
4.4059 0.0000 0.0000
0.0000 4.4059 0.0000
0.0000 0.0000 10.4167
Ac Al Cu Pt
2 4 3 1
Direct
0.0000 0.5000 0.2454
0.5000 0.0000 0.7546
0.0000 0.0000 0.5000
0.0000 0.5000 0.8800
0.5000 0.0000 0.1200
0.5000 0.5000 0.5000
0.0000 0.0000 0.0000
0.0000 0.5000 0.6291
0.5000 0.0000 0.3709
0.5000 0.5000 0.0000

Record 16
AcAl2CuPt4 | Alexandria via LeMat-Bulk | PBE | optimized geometry; space group = No. 166; energy of formation from the pure elements = -894.8 meV per atom
1.0
2.1439 1.2378 9.1657
-2.1439 1.2378 9.1657
0.0000 -2.4756 9.1657
Ac Al Cu Pt
1 2 1 4
Direct
0.0000 0.0000 0.0000
0.2310 0.2310 0.2310
0.7690 0.7690 0.7690
0.5000 0.5000 0.5000
0.1334 0.1334 0.1334
0.4067 0.4067 0.4067
0.5933 0.5933 0.5933
0.8666 0.8666 0.8666

Record 17
Ac2Al3Cu12Pt | Alexandria via LeMat-Bulk | PBE | optimized geometry; space group = No. 166; energy of formation from the pure elements = 10.4 meV per atom
1.0
3.1183 1.8003 9.2591
-3.1183 1.8003 9.2591
0.0000 -3.6007 9.2591
Ac Al Cu Pt
2 3 12 1
Direct
0.1517 0.1517 0.1517
0.8483 0.8483 0.8483
0.0000 0.5000 0.5000
0.5000 0.0000 0.5000
0.5000 0.5000 0.0000
0.0822 0.0822 0.6947
0.0822 0.6947 0.0822
0.1493 0.5629 0.5629
0.3053 0.9178 0.9178
0.4371 0.4371 0.8507
0.4371 0.8507 0.4371
0.5629 0.1493 0.5629
0.5629 0.5629 0.1493
0.6947 0.0822 0.0822
0.8507 0.4371 0.4371
0.9178 0.3053 0.9178
0.9178 0.9178 0.3053
0.5000 0.5000 0.5000

Record 18
AcAl3CuPt | Alexandria via LeMat-Bulk | PBE | optimized geometry; space group = No. 63; energy of formation from the pure elements = -486.9 meV per atom
1.0
3.2852 -6.0422 0.0000
3.2852 6.0422 0.0000
0.0000 0.0000 6.3606
Ac Al Cu Pt
2 6 2 2
Direct
0.2436 0.7564 0.7500
0.7564 0.2436 0.2500
0.2129 0.2129 0.0000
0.2129 0.2129 0.5000
0.3156 0.6844 0.2500
0.6844 0.3156 0.7500
0.7871 0.7871 0.0000
0.7871 0.7871 0.5000
0.4954 0.5046 0.7500
0.5046 0.4954 0.2500
0.1162 0.8838 0.2500
0.8838 0.1162 0.7500

Record 19
AcAlCu2Pt4 | Alexandria via LeMat-Bulk | PBE | optimized geometry; space group = No. 166; energy of formation from the pure elements = -669.4 meV per atom
1.0
2.1618 1.2481 8.8037
-2.1618 1.2481 8.8037
0.0000 -2.4962 8.8037
Ac Al Cu Pt
1 1 2 4
Direct
0.0000 0.0000 0.0000
0.5000 0.5000 0.5000
0.2397 0.2397 0.2397
0.7603 0.7603 0.7603
0.1338 0.1338 0.1338
0.4064 0.4064 0.4064
0.5936 0.5936 0.5936
0.8662 0.8662 0.8662

Record 20
AcAlCuRh | Alexandria via LeMat-Bulk | PBE | optimized geometry; space group = No. 160; energy of formation from the pure elements = -580.1 meV per atom
1.0
2.1757 1.2561 5.2480
-2.1757 1.2561 5.2480
0.0000 -2.5122 5.2480
Ac Al Cu Rh
1 1 1 1
Direct
0.0000 0.0000 0.0000
0.4900 0.4900 0.4900
0.1964 0.1964 0.1964
0.7983 0.7983 0.7983

Record 21
AcAlCu2S4 | Alexandria via LeMat-Bulk | PBE | optimized geometry; energy relative to the elements, uncorrected = -106 kJ/mol of atoms; space group = No. 23
1.0
-3.1560 3.4493 3.8616
3.1560 -3.4493 3.8616
3.1560 3.4493 -3.8616
Ac Al Cu S
1 1 2 4
Direct
0.0000 0.0000 0.0000
0.5000 0.5000 0.0000
0.3262 0.8262 0.5000
0.6738 0.1738 0.5000
0.1436 0.1183 0.6041
0.4858 0.8817 0.0253
0.5142 0.5395 0.3959
0.8564 0.4605 0.9747

Number 1: total DFT energy (no corrections) -49.942 eV/cell. Number 2: total DFT energy (no corrections) -49.573 eV/cell. Number 3: total DFT energy (no corrections) -79.118 eV/cell. Number 4: total DFT energy (no corrections) -107.457 eV/cell. Number 5: total DFT energy (no corrections) -42.272 eV/cell. Number 6: total DFT energy (no corrections) -62.597 eV/cell. Number 7: total DFT energy (no corrections) -73.019 eV/cell. Number 8: total DFT energy (no corrections) -77.951 eV/cell. Number 9: total DFT energy (no corrections) -61.188 eV/cell. Number 10: total DFT energy (no corrections) -55.383 eV/cell. Number 11: total DFT energy (no corrections) -38.408 eV/cell. Number 12: total DFT energy (no corrections) -17.275 eV/cell. Number 13: total DFT energy (no corrections) -54.626 eV/cell. Number 14: total DFT energy (no corrections) -20.970 eV/cell. Number 15: total DFT energy (no corrections) -46.663 eV/cell. Number 16: total DFT energy (no corrections) -47.012 eV/cell. Number 17: total DFT energy (no corrections) -74.451 eV/cell. Number 18: total DFT energy (no corrections) -56.789 eV/cell. Number 19: total DFT energy (no corrections) -45.562 eV/cell. Number 20: total DFT energy (no corrections) -21.619 eV/cell. Number 21: total DFT energy (no corrections) -41.332 eV/cell.